# BaCrBi3, single point on PBEsol structure, DFT SCAN
data_BaCrBi3
_chemical_formula_sum 'Ba1 Cr1 Bi3'
_symmetry_space_group_name_H-M 'P m -3 m'
_symmetry_Int_Tables_number 221
_symmetry_space_group_name_Hall '-P 4 2 3'
_cell_length_a 6.160
_cell_length_b 6.160
_cell_length_c 6.160
_cell_angle_alpha 90.00
_cell_angle_beta 90.00
_cell_angle_gamma 90.00
loop_
_atom_site_label
_atom_site_type_symbol
_atom_site_fract_x
_atom_site_fract_y
_atom_site_fract_z
Ba1 Ba 0.000 0.000 0.000
Cr1 Cr 0.500 0.500 0.500
Bi1 Bi 0.000 0.000 0.500
# ΔE_f (eV/atom): 1.21